! DyMn2O4 (PBE+U, optimized geometry); values from VASP
! * total magnetization: 9.0 μB per formula unit
! * offset from the most stable computed form: 91.0 meV/atom
! * DOS(E_F): 0.271 states/eV/atom
! * density: 6.007 g/cm3
&SYSTEM
  ibrav = 0, nat = 14, ntyp = 3
/
ATOMIC_SPECIES
Dy 162.50 Dy.upf
Mn 54.94 Mn.upf
O 16.00 O.upf
CELL_PARAMETERS angstrom
-1.058 -5.800 -2.682
1.755 -5.546 2.849
-4.476 -3.651 2.445
ATOMIC_POSITIONS crystal
Dy 0.125 0.125 0.610
Dy 0.875 0.875 0.390
Mn 0.500 0.500 0.500
Mn 0.500 0.500 0.000
Mn 0.000 0.500 0.000
Mn 0.500 0.000 0.000
O 0.731 0.731 0.797
O 0.752 0.752 0.220
O 0.288 0.732 0.266
O 0.732 0.288 0.266
O 0.269 0.269 0.203
O 0.248 0.248 0.780
O 0.712 0.268 0.734
O 0.268 0.712 0.734